This record from Alexandria via LeMat-Bulk describes crystalline Tl2VCl4 at its relaxed geometry. The functional is PBE. Values from VASP.

Summary:
As for the spin magnetization: 3.0 μB per formula unit. The mass density comes out at 4.4 g/cm3. Its density of states at the Fermi level is 10.04 states/eV per cell. The excess energy over the best structure of this formula in the dataset comes out at 95.3 meV/atom.

Quantum ESPRESSO input file:
```
&SYSTEM
  ibrav = 0, nat = 7, ntyp = 3
/
ATOMIC_SPECIES
Tl 204.38 Tl.upf
Cl 35.45 Cl.upf
V 50.94 V.upf
CELL_PARAMETERS angstrom
-6.718 -0.257 -3.124
2.626 -4.336 -5.409
1.124 -1.084 6.528
ATOMIC_POSITIONS crystal
Tl 0.250 0.750 0.500
Cl 0.226 0.226 0.000
Cl 0.227 0.773 0.000
Cl 0.774 0.774 0.000
Cl 0.773 0.227 0.000
V 0.000 0.000 0.000
Tl 0.750 0.250 0.500
```

---

This record from Alexandria via LeMat-Bulk describes crystalline Tl3VCl7 at its relaxed geometry. The functional is PBE. Values from VASP.

Summary:
As for the spin magnetization: 1.0 μB per formula unit. The mass density comes out at 4.3 g/cm3. Its density of states at the Fermi level is 6.87 states/eV per cell.

Quantum ESPRESSO input file:
```
&SYSTEM
  ibrav = 0, nat = 11, ntyp = 3
/
ATOMIC_SPECIES
Cl 35.45 Cl.upf
Tl 204.38 Tl.upf
V 50.94 V.upf
CELL_PARAMETERS angstrom
-3.479 -2.976 5.433
5.811 -2.377 3.326
1.238 4.108 6.625
ATOMIC_POSITIONS crystal
Cl 0.700 0.045 0.208
Tl 0.513 0.513 0.993
Cl 0.045 0.700 0.208
V 0.012 0.012 0.986
Cl 0.974 0.325 0.779
Cl 0.479 0.479 0.377
Cl 0.325 0.974 0.779
Tl 0.242 0.806 0.473
Cl 0.860 0.860 0.848
Tl 0.806 0.242 0.473
Cl 0.168 0.168 0.126
```

---

Looking at formation energy from raw total energies for the records above, in order, we have -0.95 -1.06 eV/atom.